1.
This record from Alexandria via LeMat-Bulk describes a relaxed ZrScP crystal. The functional is PBE.

Cell lengths 3.5902, 5.3988, 6.7498 Å; angles 74.46, 74.58, 70.58 degrees
Fractional coordinates of all 6 atoms:
Zr: 0.3439 0.2558 0.0564
P: 0.6617 0.3562 0.3204
Zr: 0.6561 0.7442 0.9436
Sc: 0.9224 0.7913 0.3639
P: 0.3383 0.6438 0.6796
Sc: 0.0776 0.2087 0.6361

Properties
Its uncorrected energy is -7.7177 eV/atom. The value obtained for the total magnetization is 0.000 μB per atom. Its symmetry is C2/m (12). The energy relative to the elements is -0.95 eV per atom. The value obtained for the theoretical density is 4.76 g/cm3.

---

2.
This record from Alexandria via LeMat-Bulk describes a relaxed La5PrDy2Th crystal. The functional is PBE.

Cell lengths 5.5406, 11.3404, 10.6714 Å; angles 90.00, 90.00, 104.14 degrees
Fractional coordinates of all 18 atoms:
Dy: 0.1132 0.2264 0.7665
La: 0.3729 0.7459 0.0082
La: 0.6271 0.2541 0.5082
La: 0.7236 0.4472 0.2003
Pr: 0.3990 0.7981 0.5082
La: 0.5000 0.0000 0.2582
La: 0.2763 0.5526 0.3164
Dy: 0.8868 0.7736 0.2665
Th: 0.2155 0.4310 0.0083
Dy: 0.8869 0.7738 0.7499
Th: 0.7845 0.5690 0.5083
La: 0.2764 0.5528 0.7003
La: 0.9963 0.9925 0.0081
Dy: 0.1131 0.2262 0.2499
Pr: 0.6010 0.2019 0.0082
La: 0.7237 0.4474 0.8164
La: 0.0037 0.0075 0.5081
La: 0.5000 0.0000 0.7582

Properties
Its uncorrected energy is -4.9853 eV/atom. The value obtained for the total magnetization is 0.000 μB per atom. Its symmetry is Cmcm (63). The energy relative to the elements is 0.13 eV per atom. The value obtained for the theoretical density is 7.11 g/cm3.